Version w
First-principles (PBE) data for a geometry-optimized KIn2Hg6 structure, as listed in Alexandria.

a = 3.436 Å, b = 9.591 Å, c = 15.234 Å
α = 90.00°, β = 90.00°, γ = 90.00°
Space group Immm (No. 71)
Unique sites:
K1 0.000 0.000 0.000 [2 per cell]
In1 0.000 0.500 0.145 [4 per cell]
Hg1 0.000 0.175 0.500 [4 per cell]
Hg2 0.000 0.332 0.323 [8 per cell]

Values from the calculation:
The total magnetization comes out at 0.00 Bohr magnetons per cell. As for the crystal system: orthorhombic.

=====

Version x
First-principles (PBE) data for a geometry-optimized KIn2Hg6 structure, as listed in Alexandria.

a = 13.897 Å, b = 13.897 Å, c = 13.897 Å
α = 90.00°, β = 90.00°, γ = 90.00°
Space group Fd-3m (No. 227, origin choice 2)
Unique sites:
K1 0.125 0.125 0.125 [8 per cell]
In1 0.000 0.000 0.500 [16 per cell]
Hg1 0.124 0.375 0.375 [48 per cell]

Values from the calculation:
The total magnetization comes out at 0.00 Bohr magnetons per cell. As for the crystal system: cubic.

=====

Which is the most stable structure? version w is the most stable.

=====

Version w
First-principles (PBE) data for a geometry-optimized KInHg4 structure, as listed in Alexandria.

a = 8.079 Å, b = 5.127 Å, c = 8.741 Å
α = 90.00°, β = 90.00°, γ = 90.00°
Space group Pmma (No. 51)
Unique sites:
K1 0.250 0.000 0.144 [2 per cell]
In1 0.250 0.000 0.738 [2 per cell]
Hg1 0.000 0.000 0.500 [2 per cell]
Hg2 0.055 0.500 0.832 [4 per cell]
Hg3 0.250 0.500 0.429 [2 per cell]

Values from the calculation:
The total magnetization comes out at 0.00 Bohr magnetons per cell. As for the crystal system: orthorhombic.

=====

Version x
First-principles (PBE) data for a geometry-optimized KInHg4 structure, as listed in Alexandria.

a = 8.870 Å, b = 8.870 Å, c = 8.870 Å
α = 90.00°, β = 90.00°, γ = 90.00°
Space group F-43m (No. 216)
Unique sites:
K1 0.000 0.000 0.000 [4 per cell]
In1 0.250 0.250 0.750 [4 per cell]
Hg1 0.125 0.125 0.375 [16 per cell]

Values from the calculation:
The total magnetization comes out at 0.00 Bohr magnetons per cell. As for the crystal system: cubic.

=====

Which is the most stable structure? version w is the most stable.

=====

Version w
First-principles (PBE) data for a geometry-optimized KNaInHg structure, as listed in Alexandria.

a = 7.812 Å, b = 7.812 Å, c = 7.812 Å
α = 90.00°, β = 90.00°, γ = 90.00°
Space group F-43m (No. 216)
Unique sites:
K1 0.000 0.000 0.000 [4 per cell]
Na1 0.250 0.250 0.250 [4 per cell]
In1 0.000 0.000 0.500 [4 per cell]
Hg1 0.250 0.250 0.750 [4 per cell]

Values from the calculation:
The total magnetization comes out at 0.00 Bohr magnetons per cell. As for the crystal system: cubic.

=====

Version x
First-principles (PBE) data for a geometry-optimized KNaInHg structure, as listed in Alexandria.

a = 8.847 Å, b = 5.111 Å, c = 6.876 Å
α = 90.00°, β = 115.54°, γ = 90.00°
Space group Cm (No. 8)
Unique sites:
K1 0.000 0.000 0.000 [2 per cell]
Na1 0.300 0.500 0.403 [2 per cell]
In1 0.211 0.000 0.634 [2 per cell]
Hg1 0.038 0.500 0.614 [2 per cell]

Values from the calculation:
The total magnetization comes out at 0.00 Bohr magnetons per cell. As for the crystal system: monoclinic.

=====

Which is the most stable structure? version x is the most stable.

=====

Version w
First-principles (PBE) data for a geometry-optimized KIn2NiHg structure, as listed in Alexandria.

a = 5.043 Å, b = 5.043 Å, c = 5.264 Å
α = 90.00°, β = 90.00°, γ = 90.00°
Space group P4/mmm (No. 123)
Unique sites:
K1 0.000 0.000 0.000 [1 per cell]
In1 0.000 0.500 0.500 [2 per cell]
Ni1 0.500 0.500 0.500 [1 per cell]
Hg1 0.500 0.500 0.000 [1 per cell]

Values from the calculation:
The total magnetization comes out at 0.00 Bohr magnetons per cell. As for the crystal system: tetragonal.

=====

Version x
First-principles (PBE) data for a geometry-optimized KIn2NiHg structure, as listed in Alexandria.

a = 4.974 Å, b = 4.974 Å, c = 6.149 Å
α = 90.00°, β = 90.00°, γ = 90.00°
Space group P4/mmm (No. 123)
Unique sites:
K1 0.000 0.000 0.000 [1 per cell]
In1 0.000 0.500 0.500 [2 per cell]
Ni1 0.000 0.000 0.500 [1 per cell]
Hg1 0.500 0.500 0.000 [1 per cell]

Values from the calculation:
The total magnetization comes out at 0.00 Bohr magnetons per cell. As for the crystal system: tetragonal.

=====

Which is the most stable structure? version w is the most stable.

=====

Version w
First-principles (PBE) data for a geometry-optimized KInHg2Pb structure, as listed in Alexandria.

a = 6.476 Å, b = 7.381 Å, c = 6.668 Å
α = 90.00°, β = 90.00°, γ = 90.00°
Space group Pmma (No. 51)
Unique sites:
K1 0.250 0.000 0.248 [2 per cell]
In1 0.000 0.500 0.000 [2 per cell]
Hg1 0.250 0.206 0.754 [4 per cell]
Pb1 0.250 0.500 0.423 [2 per cell]

Values from the calculation:
The total magnetization comes out at 0.00 Bohr magnetons per cell. As for the crystal system: orthorhombic.

=====

Version x
First-principles (PBE) data for a geometry-optimized KInHg2Pb structure, as listed in Alexandria.

a = 5.682 Å, b = 5.682 Å, c = 5.934 Å
α = 90.00°, β = 90.00°, γ = 90.00°
Space group P4/mmm (No. 123)
Unique sites:
K1 0.000 0.000 0.000 [1 per cell]
In1 0.500 0.500 0.500 [1 per cell]
Hg1 0.000 0.500 0.500 [2 per cell]
Pb1 0.500 0.500 0.000 [1 per cell]

Values from the calculation:
The total magnetization comes out at 0.00 Bohr magnetons per cell. As for the crystal system: tetragonal.

=====

Which is the most stable structure? version w is the most stable.

=====

Version w
First-principles (PBE) data for a geometry-optimized KRb2InHg structure, as listed in Alexandria.

a = 7.274 Å, b = 7.274 Å, c = 5.683 Å
α = 90.00°, β = 90.00°, γ = 90.00°
Space group P4/mmm (No. 123)
Unique sites:
K1 0.000 0.000 0.000 [1 per cell]
Rb1 0.000 0.500 0.500 [2 per cell]
In1 0.500 0.500 0.500 [1 per cell]
Hg1 0.500 0.500 0.000 [1 per cell]

Values from the calculation:
The total magnetization comes out at 0.00 Bohr magnetons per cell. As for the crystal system: tetragonal.

=====

Version x
First-principles (PBE) data for a geometry-optimized KRb2InHg structure, as listed in Alexandria.

a = 7.042 Å, b = 7.042 Å, c = 5.679 Å
α = 90.00°, β = 90.00°, γ = 90.00°
Space group P4/mmm (No. 123)
Unique sites:
K1 0.000 0.000 0.000 [1 per cell]
Rb1 0.000 0.500 0.500 [2 per cell]
In1 0.500 0.500 0.000 [1 per cell]
Hg1 0.500 0.500 0.500 [1 per cell]

Values from the calculation:
The total magnetization comes out at 0.00 Bohr magnetons per cell. As for the crystal system: tetragonal.

=====

Which is the most stable structure? version x is the most stable.